Density functional theory data (PBE-GGA) for an optimized crystal structure of ScNbN2O.

Calculated density ... 5.287 Mg/m³
Crystal system ... orthorhombic
M_tot ... 0.00 μB per formula unit
Calculated total energy ... -9.29 eV per atom

a b c (Å): 7.757 5.270 5.589
angles (deg): 90.00 90.00 90.00
Space group Pmc2_1 (No. 26)
Inequivalent atoms, fractional coordinates:
1 Sc 0.000 0.212 0.000
2 Sc 0.500 0.275 0.133
3 Nb 0.248 0.258 0.552
4 N 0.172 0.054 0.274
5 N 0.327 0.438 0.878
6 O 0.000 0.402 0.626
7 O 0.500 0.105 0.509

=====

Density functional theory data (PBE-GGA) for an optimized crystal structure of Gd2TmMg3Ir3.

Calculated density ... 10.146 Mg/m³
Crystal system ... orthorhombic
M_tot ... 0.00 μB per formula unit
Calculated total energy ... -5.68 eV per atom

a b c (Å): 4.056 12.569 7.275
angles (deg): 90.00 90.00 90.00
Space group Amm2 (No. 38)
Inequivalent atoms, fractional coordinates:
1 Gd 0.000 0.205 0.000
2 Tm 0.000 0.000 0.388
3 Mg 0.500 0.000 0.040
4 Mg 0.500 0.122 0.672
5 Ir 0.000 0.000 0.791
6 Ir 0.500 0.164 0.296

=====

Density functional theory data (PBE-GGA) for an optimized crystal structure of HfTlTeAuSe2.

Calculated density ... 9.062 Mg/m³
Crystal system ... monoclinic
M_tot ... 0.00 μB per formula unit
Calculated total energy ... -5.00 eV per atom

a b c (Å): 8.375 3.948 10.254
angles (deg): 90.00 110.71 90.00
Space group P2_1/m (No. 11)
Inequivalent atoms, fractional coordinates:
1 Hf 0.190 0.250 0.161
2 Tl 0.257 0.750 0.735
3 Te 0.209 0.250 0.447
4 Au 0.423 0.750 0.389
5 Se 0.050 0.250 0.877
6 Se 0.395 0.750 0.129

=====

Density functional theory data (PBE-GGA) for an optimized crystal structure of Li2HfZrAl2Pd2.

Calculated density ... 7.195 Mg/m³
Crystal system ... tetragonal
M_tot ... 0.00 μB per formula unit
Calculated total energy ... -5.64 eV per atom

a b c (Å): 4.478 4.478 6.335
angles (deg): 90.00 90.00 90.00
Space group P-4m2 (No. 115)
Inequivalent atoms, fractional coordinates:
1 Li 0.000 0.500 0.250
2 Hf 0.000 0.000 0.500
3 Zr 0.500 0.500 0.000
4 Al 0.000 0.000 0.000
5 Al 0.500 0.500 0.500
6 Pd 0.000 0.500 0.746

=====

Density functional theory data (PBE-GGA) for an optimized crystal structure of Y2B2Os.

Calculated density ... 7.931 Mg/m³
Crystal system ... tetragonal
M_tot ... 0.02 μB per formula unit
Calculated total energy ... -6.87 eV per atom

a b c (Å): 3.264 3.264 15.311
angles (deg): 90.00 90.00 90.00
Space group I4/mmm (No. 139)
Inequivalent atoms, fractional coordinates:
1 Y 0.000 0.000 0.110
2 B 0.000 0.500 0.250
3 Os 0.000 0.000 0.500

=====

Density functional theory data (PBE-GGA) for an optimized crystal structure of HoErSc.

Calculated density ... 6.273 Mg/m³
Energy of formation ... 692 meV/atom
Crystal system ... cubic
M_tot ... 0.02 μB per formula unit

a b c (Å): 7.364 7.364 7.364
angles (deg): 90.00 90.00 90.00
Space group F-43m (No. 216)
Inequivalent atoms, fractional coordinates:
1 Ho 0.000 0.000 0.000
2 Er 0.000 0.000 0.500
3 Sc 0.250 0.250 0.750

=====

Density functional theory data (PBE-GGA) for an optimized crystal structure of LaPmGd.

Calculated density ... 6.057 Mg/m³
Energy of formation ... 693 meV/atom
Crystal system ... cubic
M_tot ... 0.01 μB per formula unit

a b c (Å): 7.850 7.850 7.850
angles (deg): 90.00 90.00 90.00
Space group F-43m (No. 216)
Inequivalent atoms, fractional coordinates:
1 La 0.000 0.000 0.000
2 Pm 0.250 0.250 0.750
3 Gd 0.000 0.000 0.500

=====

Density functional theory data (PBE-GGA) for an optimized crystal structure of AlSnMo.

Calculated density ... 6.307 Mg/m³
Crystal system ... cubic
M_tot ... 0.97 μB per formula unit
Calculated total energy ... -5.73 eV per atom

a b c (Å): 6.337 6.337 6.337
angles (deg): 90.00 90.00 90.00
Space group F-43m (No. 216)
Inequivalent atoms, fractional coordinates:
1 Al 0.000 0.000 0.000
2 Sn 0.000 0.000 0.500
3 Mo 0.250 0.250 0.250

=====

Density functional theory data (PBE-GGA) for an optimized crystal structure of TbYAl4Cu2.

Calculated density ... 5.485 Mg/m³
Crystal system ... orthorhombic
M_tot ... 0.01 μB per formula unit
Calculated total energy ... -4.63 eV per atom

a b c (Å): 6.835 4.186 10.218
angles (deg): 90.00 90.00 90.00
Space group Amm2 (No. 38)
Inequivalent atoms, fractional coordinates:
1 Tb 0.000 0.000 0.000
2 Y 0.500 0.000 0.135
3 Al 0.196 0.000 0.712
4 Al 0.304 0.000 0.423
5 Cu 0.000 0.000 0.283
6 Cu 0.500 0.000 0.853

=====

Density functional theory data (PBE-GGA) for an optimized crystal structure of ThP.

Calculated density ... 8.469 Mg/m³
Crystal system ... orthorhombic
M_tot ... 0.01 μB per formula unit
Calculated total energy ... -7.19 eV per atom

a b c (Å): 6.853 5.436 5.537
angles (deg): 90.00 90.00 90.00
Space group Pmma (No. 51)
Inequivalent atoms, fractional coordinates:
1 Th 0.000 0.000 0.000
2 Th 0.250 0.500 0.431
3 P 0.250 0.000 0.447
4 P 0.250 0.500 0.923

=====

Density functional theory data (PBE-GGA) for an optimized crystal structure of HfZrIr.

Calculated density ... 12.588 Mg/m³
Energy of formation ... -735 meV/atom
Crystal system ... orthorhombic
M_tot ... 0.00 μB per formula unit

a b c (Å): 6.627 4.501 8.171
angles (deg): 90.00 90.00 90.00
Space group Pnma (No. 62)
Inequivalent atoms, fractional coordinates:
1 Hf 0.151 0.250 0.082
2 Zr 0.008 0.250 0.677
3 Ir 0.246 0.250 0.411

=====

Density functional theory data (PBE-GGA) for an optimized crystal structure of Pm8Ir5Pt.

Calculated density ... 11.141 Mg/m³
Energy of formation ... -713 meV/atom
Crystal system ... tetragonal
M_tot ... 0.03 μB per formula unit

a b c (Å): 8.848 8.848 8.820
angles (deg): 90.00 90.00 90.00
Space group I-4 (No. 82)
Inequivalent atoms, fractional coordinates:
1 Pm 0.062 0.189 0.316
2 Pm 0.064 0.316 0.937
3 Ir 0.000 0.500 0.250
4 Ir 0.127 0.251 0.626
5 Pt 0.000 0.000 0.000

=====

Density functional theory data (PBE-GGA) for an optimized crystal structure of YCdPdAu.

Calculated density ... 10.249 Mg/m³
Energy of formation ... -697 meV/atom
Crystal system ... cubic
M_tot ... 0.00 μB per formula unit

a b c (Å): 6.890 6.890 6.890
angles (deg): 90.00 90.00 90.00
Space group F-43m (No. 216)
Inequivalent atoms, fractional coordinates:
1 Y 0.000 0.000 0.000
2 Cd 0.000 0.000 0.500
3 Pd 0.250 0.250 0.250
4 Au 0.250 0.250 0.750

=====

Density functional theory data (PBE-GGA) for an optimized crystal structure of LiCuAsPd.

Calculated density ... 7.535 Mg/m³
Crystal system ... cubic
Calculated total energy ... -4.23 eV per atom

a b c (Å): 6.055 6.055 6.055
angles (deg): 90.00 90.00 90.00
Space group F-43m (No. 216)
Inequivalent atoms, fractional coordinates:
1 Li 0.000 0.000 0.000
2 Cu 0.250 0.250 0.750
3 As 0.000 0.000 0.500
4 Pd 0.250 0.250 0.250

=====

Density functional theory data (PBE-GGA) for an optimized crystal structure of ScBe2Tc.

Calculated density ... 5.001 Mg/m³
Crystal system ... cubic
M_tot ... 0.00 μB per formula unit
Calculated total energy ... -5.83 eV per atom

a b c (Å): 5.980 5.980 5.980
angles (deg): 90.00 90.00 90.00
Space group F-43m (No. 216)
Inequivalent atoms, fractional coordinates:
1 Sc 0.000 0.000 0.000
2 Be 0.000 0.000 0.500
3 Be 0.250 0.250 0.250
4 Tc 0.250 0.250 0.750

=====

Density functional theory data (PBE-GGA) for an optimized crystal structure of GaSi2Tc.

Calculated density ... 6.471 Mg/m³
Crystal system ... cubic
M_tot ... 0.00 μB per formula unit
Calculated total energy ... -5.71 eV per atom

a b c (Å): 6.125 6.125 6.125
angles (deg): 90.00 90.00 90.00
Space group F-43m (No. 216)
Inequivalent atoms, fractional coordinates:
1 Ga 0.000 0.000 0.000
2 Si 0.000 0.000 0.500
3 Si 0.250 0.250 0.250
4 Tc 0.250 0.250 0.750

=====

Density functional theory data (PBE-GGA) for an optimized crystal structure of KMo3As5.

Calculated density ... 5.453 Mg/m³
Crystal system ... hexagonal
M_tot ... 0.01 μB per formula unit
Calculated total energy ... -6.41 eV per atom

a b c (Å): 5.3951 5.3951 8.4753
angles (deg): 90.00 90.00 120.00
Space group P6/mmm (No. 191)
Inequivalent atoms, fractional coordinates:
1 K 0.0000 0.0000 0.0000
2 Mo 0.0000 0.5000 0.5000
3 As 0.0000 0.0000 0.5000
4 As 0.3333 0.6667 0.2472

=====

Density functional theory data (PBE-GGA) for an optimized crystal structure of B4IrPd.

Calculated density ... 10.328 Mg/m³
Crystal system ... orthorhombic
M_tot ... 0.01 μB per formula unit
Calculated total energy ... -6.41 eV per atom

a b c (Å): 3.093 5.310 6.693
angles (deg): 90.00 90.00 90.00
Space group Immm (No. 71)
Inequivalent atoms, fractional coordinates:
1 B 0.000 0.164 0.249
2 Ir 0.000 0.500 0.000
3 Pd 0.000 0.500 0.500

=====

Density functional theory data (PBE-GGA) for an optimized crystal structure of Sm2Pd2O5.

Calculated density ... 7.310 Mg/m³
Crystal system ... tetragonal
M_tot ... 0.26 μB per formula unit
Calculated total energy ... -6.40 eV per atom

a b c (Å): 3.811 3.811 9.282
angles (deg): 90.00 90.00 90.00
Space group P4/mmm (No. 123)
Inequivalent atoms, fractional coordinates:
1 Sm 0.000 0.000 0.244
2 Pd 0.500 0.500 0.000
3 Pd 0.500 0.500 0.500
4 O 0.000 0.000 0.000
5 O 0.000 0.500 0.368

=====

Density functional theory data (PBE-GGA) for an optimized crystal structure of NaYNbIr.

Calculated density ... 8.120 Mg/m³
Crystal system ... cubic
M_tot ... 2.55 μB per formula unit
Calculated total energy ... -6.11 eV per atom

a b c (Å): 6.874 6.874 6.874
angles (deg): 90.00 90.00 90.00
Space group F-43m (No. 216)
Inequivalent atoms, fractional coordinates:
1 Na 0.000 0.000 0.000
2 Y 0.000 0.000 0.500
3 Nb 0.250 0.250 0.250
4 Ir 0.250 0.250 0.750